(1)
Below is a relaxed structure of Sc3InBi, with properties calculated at the PBE level.

## Properties
- ΔH_f (0 K) (eV per atom) = 0.1350
- excess energy over the best structure of this formula in the dataset (meV/atom) = 0
- crystal system = cubic
- symmetry = Pm-3m (221)

Lattice parameters (Å, degrees): 5.3152 5.3152 5.3152 90.00 90.00 90.00
Closest atoms and distances in Å follow each position.
Element x y z (fractional)
Sc 0.0000 0.5000 0.0000  2 In 2.66
Sc 0.0000 0.0000 0.5000  2 In 2.66
Sc 0.5000 0.0000 0.0000  2 In 2.66
Bi 0.5000 0.5000 0.5000  12 Sc 3.76
In 0.0000 0.0000 0.0000  6 Sc 2.66

=====

(2)
Below is a relaxed structure of MoCSe2, with properties calculated at the PBE level.

## Properties
- crystal system = tetragonal
- symmetry = I-42d (122)
- formation energy (no corrections) (eV/atom) = 1.10

Lattice parameters (Å, degrees): 5.3700 5.3700 6.2600 64.60 64.60 90.00
Closest atoms and distances in Å follow each position.
Element x y z (fractional)
Mo 0.0000 0.0000 0.0000  4 Se 2.44
Mo 0.7500 0.2500 0.5000  4 Se 2.44
C 0.5000 0.5000 0.0000  4 Se 2.12
C 0.2500 0.7500 0.5000  4 Se 2.12
Se 0.5753 0.1250 0.2500  2 C 2.12
Se 0.1747 0.6250 0.2500  2 C 2.12
Se 0.3750 0.4247 0.7500  2 C 2.12
Se 0.8750 0.8253 0.7500  2 C 2.12

=====

Total magnetic moment in μB per formula unit, matching the order above: 0.000 0.000
E in eV/cell, matching the order above: -24.9 -45.3